# LaSmNiAu (PBE, optimized geometry)
data_LaSmNiAu
_space_group_name_H-M_alt 'A m m 2'
_space_group_IT_number 38
_cell_length_a 4.692
_cell_length_b 3.952
_cell_length_c 10.683
_cell_angle_alpha 90.00
_cell_angle_beta 90.00
_cell_angle_gamma 90.00
loop_
_space_group_symop_operation_xyz
'x,y,z'
'-x,-y,z'
'-x,y,z'
'x,-y,z'
'x,y+1/2,z+1/2'
'-x,-y+1/2,z+1/2'
'-x,y+1/2,z+1/2'
'x,-y+1/2,z+1/2'
loop_
_atom_site_label
_atom_site_fract_x
_atom_site_fract_y
_atom_site_fract_z
_atom_site_occupancy
La1 0.000 0.000 0.000 1
Sm1 0.500 0.000 0.721 1
Ni1 0.000 0.000 0.277 1
Au1 0.500 0.000 0.434 1
# Total magnetic moment (μB per formula unit): 0.00
# Total DFT energy (no corrections) (eV/atom): -5.23
# Energy of formation (meV/atom): -550
# Density of states at the Fermi level (states/eV per cell): 6.66